Compound: Mn2InGeO
Source: Alexandria
Functional: PBE+U
Structure: optimized geometry

abc: 5.2735 5.2735 5.1150
angles: 90.00 90.00 90.00
Sites, in units of the cell vectors:
Mn: 0.0000 0.5000 0.0000
Mn: 0.5000 0.0000 0.0000
In: 0.0000 0.0000 0.0000
Ge: 0.0000 0.0000 0.5000
O: 0.5000 0.5000 0.5000

Values from the calculation:
Fermi-level density of states   3.09 states/eV/f.u.
Crystal system   tetragonal
SG   P4/mmm (123)
Total DFT energy (no corrections)   -21.34 eV for the cell shown
V   28.4 Å³ per atom